Record 1
## ZnAgRu2 (PBE)

Data for ZnAgRu2 after structural relaxation.

POSCAR file:
```
ZnAgRu2
1.0
-0.428 0.229 4.358
2.013 -3.875 0.402
2.737 1.442 0.193
Ag Ru Zn
1 2 1
Cartesian
2.375 -1.217 0.297
0.793 -1.823 2.380
0.000 0.000 0.000
1.154 0.835 2.275
```

The calculation puts the total energy at -5.139 eV per atom. The formation enthalpy at 0 K is 0.53 eV/atom.

Record 2
## CsNaAgBr4 (PBE)

Data for CsNaAgBr4 after structural relaxation.

POSCAR file:
```
CsNaAgBr4
1.0
0.229 6.943 -3.710
-3.811 2.578 4.590
7.852 0.474 6.252
Br Na Cs Ag
8 2 2 2
Cartesian
3.671 1.880 6.746
-1.572 4.910 2.838
1.872 5.282 5.489
2.377 6.911 -1.756
0.599 8.115 0.387
5.842 5.084 4.295
2.398 4.713 1.644
1.893 3.083 8.888
3.788 3.124 3.691
0.482 6.871 3.442
-0.428 2.482 0.551
4.698 7.512 6.582
-0.070 3.660 4.787
4.340 6.335 2.345
```

For the energy relative to the elements, uncorrected, the calculation gives -7.0 eV/f.u. The calculation puts the total energy at -2.671 eV per atom.

Record 3
## Tb12Nd7Dy (PBE)

Data for Tb12Nd7Dy after structural relaxation.

POSCAR file:
```
Tb12Nd7Dy
1.0
-2.832 -2.624 -9.064
-4.068 -6.079 6.600
-2.916 9.236 1.807
Nd Tb Dy
7 12 1
Cartesian
-2.874 3.306 -3.629
-2.034 -3.039 3.300
-3.450 -4.352 -1.232
-4.908 0.266 -0.329
-3.492 1.579 4.204
-1.416 -1.312 -4.532
-1.458 4.618 0.903
-6.697 1.053 1.739
-6.960 0.234 5.725
-3.139 2.410 0.279
-6.613 -4.926 -3.643
-6.049 5.757 -3.396
-3.767 -5.224 2.738
-2.856 0.299 -6.382
-3.203 5.459 2.986
-3.119 -0.520 -2.396
-3.424 -1.364 1.468
-6.392 1.897 -2.126
-6.677 -1.877 -0.936
0.000 0.000 0.000
```

The calculation puts the relative energy among the computed polymorphs at 399 meV per atom. The calculation puts the total energy at -4.049 eV per atom. The formation enthalpy at 0 K is 0.63 eV/atom.

Record 4
## LaIr2Ru (PBE)

Data for LaIr2Ru after structural relaxation.

POSCAR file:
```
LaIr2Ru
1.0
-0.990 3.438 3.555
-2.219 0.931 4.433
4.001 -0.848 3.180
Ru La Ir
1 1 2
Cartesian
0.594 2.641 8.376
0.198 0.880 2.792
3.776 -0.759 3.119
0.621 1.672 5.646
```

The calculation puts the relative energy among the computed polymorphs at 80 meV per atom. The calculation puts the total energy at -7.893 eV per atom. The formation enthalpy at 0 K is 0.09 eV/atom.

Record 5
## TiMnPOsS (PBE)

Data for TiMnPOsS after structural relaxation.

POSCAR file:
```
TiMnPOsS
1.0
3.504 0.000 0.000
-1.752 3.035 0.000
0.000 0.000 7.082
Mn P Os Ti S
1 1 1 1 1
Cartesian
0.000 2.023 6.549
0.000 2.023 3.675
0.000 0.000 4.713
0.000 0.000 1.922
1.752 1.012 0.605
```

For the energy relative to the elements, uncorrected, the calculation gives -2.4 eV/f.u. The calculation puts the relative energy among the computed polymorphs at 53 meV per atom. The calculation puts the total energy at -8.045 eV per atom.

Record 6
## RbCoCuBr6 (PBE)

Data for RbCoCuBr6 after structural relaxation.

POSCAR file:
```
RbCoCuBr6
1.0
-0.935 -6.058 2.373
4.226 -2.511 4.362
-4.258 2.933 5.812
Rb Co Cu Br
1 1 1 6
Cartesian
-4.258 2.932 5.812
-1.032 -1.390 5.151
0.065 -4.246 7.396
0.917 -2.799 5.420
0.141 -0.086 3.483
-0.294 0.317 6.700
-1.859 -2.863 3.418
-1.949 -2.665 6.992
-3.146 -0.241 4.891
```

For the energy relative to the elements, uncorrected, the calculation gives -5.2 eV/f.u. The calculation puts the total energy at -3.042 eV per atom.

Record 7
## Cs3K3HgF8 (PBE)

Data for Cs3K3HgF8 after structural relaxation.

POSCAR file:
```
Cs3K3HgF8
1.0
7.893 0.000 0.000
-3.947 6.836 -0.025
0.000 -4.535 6.803
Cs F K Hg
3 8 3 1
Cartesian
1.973 3.418 -0.012
0.000 0.000 0.000
-1.974 3.418 -0.012
0.000 -0.263 4.703
2.215 3.574 4.688
3.947 2.564 2.076
3.947 0.016 4.878
6.162 -1.273 2.091
-2.216 3.574 4.688
0.000 2.285 1.901
1.731 -1.273 2.091
-1.973 1.151 3.389
1.973 1.150 3.389
3.947 -2.268 3.402
0.000 -2.267 3.402
```

For the energy relative to the elements, uncorrected, the calculation gives -36.8 eV/f.u. The calculation puts the total energy at -3.864 eV per atom.

Record 8
## Tc3MoBr (PBE)

Data for Tc3MoBr after structural relaxation.

POSCAR file:
```
Tc3MoBr
1.0
4.488 0.000 0.000
0.000 4.488 0.000
0.000 0.000 4.488
Tc Mo Br
3 1 1
Cartesian
0.000 2.244 0.000
0.000 0.000 2.244
2.244 0.000 0.000
2.244 2.244 2.244
0.000 0.000 0.000
```

For the energy relative to the elements, uncorrected, the calculation gives 9.1 eV/f.u. The calculation puts the relative energy among the computed polymorphs at 0 meV per atom. The calculation puts the total energy at -6.907 eV per atom.

Record 9
## Be2TeIr (PBE)

Data for Be2TeIr after structural relaxation.

POSCAR file:
```
Be2TeIr
1.0
-1.357 0.956 -3.261
2.298 -1.248 -1.322
-1.733 -5.641 -0.933
Be Te Ir
2 1 1
Cartesian
0.504 -0.763 -0.434
-0.822 -1.405 -2.123
-0.996 -4.342 -2.912
0.803 -2.866 -1.175
```

For the energy relative to the elements, uncorrected, the calculation gives -0.3 eV/f.u. The calculation puts the total energy at -4.931 eV per atom.

Record 10
## LiPm2HfO6 (PBE)

Data for LiPm2HfO6 after structural relaxation.

POSCAR file:
```
LiPm2HfO6
1.0
-4.903 -0.860 -2.504
-1.053 -4.474 3.601
-3.923 4.988 5.051
O Pm Li Hf
12 4 2 2
Cartesian
-2.410 -3.069 2.037
-2.935 1.175 2.422
-7.470 2.723 4.111
-1.446 -0.738 0.663
-4.166 0.510 -0.071
-5.940 0.982 2.213
-4.089 1.683 5.115
-6.945 -1.521 3.726
-5.791 -2.029 1.032
-5.714 -0.856 6.219
-8.434 0.393 5.484
-3.940 -1.328 3.935
-2.141 -2.918 4.592
-6.166 0.794 4.540
-3.714 -1.139 1.608
-7.739 2.572 1.555
-2.452 -0.430 -1.252
-2.488 0.257 4.326
-4.413 2.064 1.274
-0.527 -2.237 1.800
```

For the energy relative to the elements, uncorrected, the calculation gives -29.8 eV/f.u. The calculation puts the total energy at -8.087 eV per atom.

Record 11
## NaCa2S2 (PBE)

Data for NaCa2S2 after structural relaxation.

POSCAR file:
```
NaCa2S2
1.0
7.724 0.000 0.000
0.000 7.724 0.000
0.000 0.000 3.809
S Na Ca
4 2 4
Cartesian
1.201 2.661 0.000
2.661 6.523 0.000
6.523 5.064 0.000
5.064 1.201 0.000
3.862 3.862 0.000
0.000 0.000 0.000
5.046 6.540 1.905
2.678 1.184 1.905
6.540 2.678 1.905
1.184 5.046 1.905
```

For the energy relative to the elements, uncorrected, the calculation gives -7.3 eV/f.u. The calculation puts the total energy at -4.167 eV per atom.

Record 12
## SiP2S2 (PBE)

Data for SiP2S2 after structural relaxation.

POSCAR file:
```
SiP2S2
1.0
-3.268 -1.265 3.004
3.257 -1.462 2.927
0.138 3.867 1.778
P S Si
2 2 1
Cartesian
-1.634 -0.633 1.502
1.628 -0.731 1.464
0.069 1.934 0.889
0.063 0.570 3.855
0.000 0.000 0.000
```

For the energy relative to the elements, uncorrected, the calculation gives 4.4 eV/f.u. The calculation puts the relative energy among the computed polymorphs at 122 meV per atom. The calculation puts the total energy at -4.026 eV per atom.

Record 13
## Ba4AlAs4 (PBE)

Data for Ba4AlAs4 after structural relaxation.

POSCAR file:
```
Ba4AlAs4
1.0
-2.000 5.195 -4.072
-9.088 -2.414 1.384
-0.383 5.766 7.545
Ba As Al
8 8 2
Cartesian
-10.744 5.385 4.101
-2.676 3.305 3.326
-6.254 4.345 -0.863
-7.273 -0.148 -0.254
-1.481 5.124 -0.781
-7.549 2.009 4.066
-6.461 7.437 3.184
-3.442 6.736 6.647
-9.779 3.089 6.427
-8.171 4.761 1.930
-4.092 5.847 1.312
-5.426 4.538 4.930
-4.026 9.389 4.590
-0.484 2.324 0.887
-5.251 1.950 1.542
-8.651 2.294 -2.190
-5.735 4.274 2.428
0.000 0.000 0.000
```

The calculation puts the total energy at -4.332 eV per atom. The formation enthalpy at 0 K is -0.99 eV/atom.

Record 14
## TaTi3H6 (PBE)

Data for TaTi3H6 after structural relaxation.

POSCAR file:
```
TaTi3H6
1.0
4.212 0.053 2.376
1.229 4.036 2.742
-0.009 0.369 5.019
Ta H Ti
1 6 3
Cartesian
2.716 2.229 5.069
1.695 0.779 4.396
2.314 2.616 3.256
1.525 3.318 6.176
3.117 1.842 6.881
3.737 3.679 5.742
3.907 1.140 3.961
0.000 0.000 0.000
1.321 1.114 2.514
4.111 3.344 7.623
```

The calculation puts the relative energy among the computed polymorphs at 14 meV per atom. The calculation puts the total energy at -5.910 eV per atom.

Record 15
## K2Ir2Pb (PBE)

Data for K2Ir2Pb after structural relaxation.

POSCAR file:
```
K2Ir2Pb
1.0
-1.634 -1.014 2.978
3.140 -0.747 1.468
1.435 10.023 6.311
K Ir Pb
2 2 1
Cartesian
2.017 6.404 7.507
0.924 1.858 3.250
2.664 4.198 5.001
0.277 4.064 5.756
0.000 0.000 0.000
```

The calculation puts the relative energy among the computed polymorphs at 0 meV per atom. The calculation puts the total energy at -4.362 eV per atom. The formation enthalpy at 0 K is 0.36 eV/atom.

Record 16
## ScPPb (PBE)

Data for ScPPb after structural relaxation.

POSCAR file:
```
ScPPb
1.0
-1.273 0.864 -4.098
-2.878 -1.569 2.901
-1.043 4.114 1.191
Sc Pb P
1 1 1
Cartesian
-2.864 1.299 1.163
-1.808 0.053 -1.765
-0.521 2.057 0.595
```

The calculation puts the relative energy among the computed polymorphs at 268 meV per atom. The calculation puts the total energy at -5.531 eV per atom. The formation enthalpy at 0 K is -0.38 eV/atom.

Record 17
## NaMgSe2 (PBE)

Data for NaMgSe2 after structural relaxation.

POSCAR file:
```
NaMgSe2
1.0
-3.658 0.659 -1.867
-2.281 -3.225 -1.301
-4.831 -1.062 4.456
Se Na Mg
2 1 1
Cartesian
-2.606 -0.901 0.155
-4.192 -1.016 3.220
-5.418 -1.817 0.706
-8.771 -2.772 2.305
```

For the energy relative to the elements, uncorrected, the calculation gives -3.6 eV/f.u. The calculation puts the total energy at -3.362 eV per atom.

Record 18
## MnFe2Pb (PBE)

Data for MnFe2Pb after structural relaxation.

POSCAR file:
```
MnFe2Pb
1.0
7.062 0.000 0.000
0.000 7.062 0.000
3.531 3.531 2.659
Fe Pb Mn
4 2 2
Cartesian
5.064 1.766 0.665
8.828 8.595 1.995
5.297 5.530 1.995
1.999 5.297 0.665
0.000 0.000 0.000
7.062 3.531 1.330
3.531 7.062 1.330
3.531 3.531 0.000
```

The calculation puts the total energy at -6.652 eV per atom. The formation enthalpy at 0 K is 0.80 eV/atom.

Record 19
## VRePW2 (PBE)

Data for VRePW2 after structural relaxation.

POSCAR file:
```
VRePW2
1.0
4.423 0.000 0.000
0.000 4.179 0.000
0.000 0.000 4.423
W V P Re
2 1 1 1
Cartesian
2.212 0.000 0.000
0.000 0.000 2.212
0.000 2.090 0.000
0.000 0.000 0.000
2.212 2.090 2.212
```

The calculation puts the relative energy among the computed polymorphs at 0 meV per atom. The calculation puts the total energy at -9.751 eV per atom. The formation enthalpy at 0 K is 0.83 eV/atom.

Record 20
## Cs4NpF7 (PBE)

Data for Cs4NpF7 after structural relaxation.

POSCAR file:
```
Cs4NpF7
1.0
4.573 0.000 1.451
1.884 7.512 1.996
-0.347 -0.306 9.029
F Cs Np
7 4 1
Cartesian
3.241 1.911 5.649
1.791 5.110 10.221
0.277 0.635 7.061
4.318 2.097 2.255
2.287 0.000 0.725
2.868 5.296 6.826
5.832 6.571 5.415
3.693 4.430 4.226
1.298 0.893 3.840
2.416 2.776 8.250
4.811 6.313 8.635
0.000 0.000 0.000
```

For the energy relative to the elements, uncorrected, the calculation gives -35.1 eV/f.u. The calculation puts the total energy at -5.376 eV per atom.

Record 21
## CrMoS2 (PBE)

Data for CrMoS2 after structural relaxation.

POSCAR file:
```
CrMoS2
1.0
5.369 0.000 0.000
0.000 5.369 0.000
2.684 2.684 5.262
S Cr Mo
4 2 2
Cartesian
6.711 6.679 3.947
1.375 4.027 1.316
3.994 1.342 1.316
4.027 4.059 3.947
2.684 2.684 0.000
2.684 5.369 2.631
0.000 0.000 0.000
5.369 2.684 2.631
```

For the energy relative to the elements, uncorrected, the calculation gives -0.6 eV/f.u. The calculation puts the relative energy among the computed polymorphs at 0 meV per atom. The calculation puts the total energy at -7.339 eV per atom.

Record 22
## NaCoSb2Ru (PBE)

Data for NaCoSb2Ru after structural relaxation.

POSCAR file:
```
NaCoSb2Ru
1.0
-2.706 2.211 -3.605
-4.411 -1.254 2.542
0.209 4.345 2.507
Co Sb Ru Na
1 2 1 1
Cartesian
-3.454 2.651 0.722
0.105 2.172 1.254
-1.353 1.105 -1.803
0.000 0.000 0.000
-2.206 -0.627 1.271
```

For the energy relative to the elements, uncorrected, the calculation gives 4.1 eV/f.u. The calculation puts the relative energy among the computed polymorphs at 231 meV per atom. The calculation puts the total energy at -4.363 eV per atom.

Record 23
## Sc3Mn (PBE)

Data for Sc3Mn after structural relaxation.

POSCAR file:
```
Sc3Mn
1.0
-2.039 -1.863 4.046
4.384 -0.051 2.186
-0.789 4.531 1.688
Sc Mn
3 1
Cartesian
-1.020 -0.931 2.023
2.192 -0.025 1.093
-0.395 2.265 0.844
0.000 0.000 0.000
```

The calculation puts the total energy at -6.447 eV per atom. The formation enthalpy at 0 K is 0.59 eV/atom.

Record 24
## NaBP (PBE)

Data for NaBP after structural relaxation.

POSCAR file:
```
NaBP
1.0
4.228 0.000 0.000
0.000 4.228 0.000
-2.114 -2.114 3.758
P Na B
1 1 1
Cartesian
2.114 2.114 0.464
2.114 2.114 3.418
0.000 0.000 2.507
```

The calculation puts the relative energy among the computed polymorphs at 850 meV per atom. The calculation puts the total energy at -3.663 eV per atom. The formation enthalpy at 0 K is 0.81 eV/atom.